The following is a PBE-GGA calculation of an optimized crystal structure of CrIn2Fe, from Alexandria via LeMat-Bulk.

Lattice parameters (Å, degrees): 5.5521 5.5521 5.5521 147.27 131.59 59.67
Last column: magnetic moment on the atom in μB.
Sites, in units of the cell vectors:
1 In 0.0193 0.0193 0.0000  -0.05
2 In 0.7376 0.2376 0.5000  -0.07
3 Cr 0.4696 0.4696 0.0000  2.12
4 Fe 0.2735 0.7735 0.5000  2.18

Output
The symmetry is Imm2 (44). The calculation puts the final energy at -22.05 eV for the cell shown. Its relative energy among the computed polymorphs is 0.391 eV/f.u.


The following is a PBE-GGA calculation of an optimized crystal structure of Cr2InFe, from Alexandria via LeMat-Bulk.

Lattice parameters (Å, degrees): 5.0336 5.0336 2.6255 81.27 81.27 118.44
Last column: magnetic moment on the atom in μB.
Sites, in units of the cell vectors:
1 In 0.0000 0.5000 0.5000  -0.03
2 Fe 0.5000 0.0000 0.5000  2.36
3 Cr 0.5000 0.5000 0.0000  0.33
4 Cr 0.0000 0.0000 0.0000  0.33

Output
The symmetry is C2/m (12). The calculation puts the final energy at -28.31 eV for the cell shown.